# CaAsRuSe2

A relaxed CaAsRuSe2 crystal (PBE, Alexandria).

a b c (Å): 5.3014 5.3014 5.3275
angles (deg): 90.00 90.00 90.00
Last column: nearest neighbours and their distance in Å.
Positions (direct):
Ca: 0.0000 0.0000 0.0000  4 Se 2.65, 2 As 2.66
Ru: 0.5000 0.5000 0.5000  4 As 3.75, 8 Se 3.76
Se: 0.0000 0.5000 0.0000  2 Ca 2.65
Se: 0.5000 0.0000 0.0000  2 Ca 2.65
As: 0.0000 0.0000 0.5000  2 Ca 2.66

Output
The calculation puts the total magnetic moment at 2.61 μB per formula unit. As for the uncorrected formation energy: 1.041 eV/atom. The value obtained for the density of states at the Fermi level is 6.35 states/eV per cell. As for the symmetry: P4/mmm. The energy relative to the lowest polymorph listed for this composition comes out at 1.3517 eV per atom. The calculation puts the calculated volume at 29.9 A^3/atom.